Material: NaHfCl3
Method: DFT, PBE
State: optimized geometry

## Properties
**DOS at the Fermi energy**: 1.325 states/eV per atom
**Polymorph energy (0 for the lowest one)**: 814 meV per atom
**Crystal system**: cubic

Cell lengths 4.9197, 4.9197, 4.9197 Å; angles 90.00, 90.00, 90.00 degrees
Last column: nearest neighbours and their distance in Å.
Atoms (fractional coordinates):
Cl  0.5000  0.0000  0.0000  2 Na 2.46
Cl  0.0000  0.0000  0.5000  2 Na 2.46
Cl  0.0000  0.5000  0.0000  2 Na 2.46
Na  0.0000  0.0000  0.0000  6 Cl 2.46
Hf  0.5000  0.5000  0.5000  12 Cl 3.48